(1)
The following is a PBE calculation of crystalline Hf4AsSN2 at its relaxed geometry, from OQMD.

Summary:
energy: -0.35150 hartree per atom

a = 3.3640 Å, b = 3.3640 Å, c = 12.0717 Å
α = 90.00°, β = 90.00°, γ = 120.00°
Space group P-6m2 (No. 187)
Inequivalent atoms, fractional coordinates:
Hf 0.0000 0.0000 0.1477
Hf 0.6667 0.3333 0.3435
As 0.0000 0.0000 0.5000
S 0.6667 0.3333 0.0000
N 0.3333 0.6667 0.2460

---

(2)
The following is a PBE calculation of crystalline PrYS2 at its relaxed geometry, from OQMD.

Summary:
ΔE to the lowest computed polymorph: 0.035 eV/atom

a = 4.0150 Å, b = 4.0150 Å, c = 5.6786 Å
α = 90.00°, β = 90.00°, γ = 90.00°
Space group P4/mmm (No. 123)
Inequivalent atoms, fractional coordinates:
Pr 0.0000 0.0000 0.0000
Y 0.5000 0.5000 0.5000
S 0.0000 0.0000 0.5000
S 0.5000 0.5000 0.0000

---

(3)
The following is a PBE calculation of crystalline Nd2DyZn2Si4Au2 at its relaxed geometry, from OQMD.

Summary:
ΔE to the lowest computed polymorph: 0.000 eV/atom

a = 4.1272 Å, b = 4.2641 Å, c = 25.0501 Å
α = 90.00°, β = 90.00°, γ = 90.00°
Space group Immm (No. 71)
Inequivalent atoms, fractional coordinates:
Nd 0.0000 0.0000 0.1468
Dy 0.0000 0.5000 0.0000
Zn 0.0000 0.5000 0.2507
Si 0.0000 0.0000 0.3079
Si 0.0000 0.5000 0.4534
Au 0.0000 0.0000 0.4064

---

Size of the total moment? In order: 0.00 0.01 0.02 μB per cell.